Material: PrGdLu2
Method: DFT, PBE
State: optimized geometry

Geometry as POSCAR:
```
PrGdLu2
1.0
0.000 3.999 3.999
3.999 0.000 3.999
3.999 3.999 0.000
Pr Gd Lu
1 1 2
direct
0.000 0.000 0.000 Pr
0.500 0.500 0.500 Gd
0.250 0.250 0.250 Lu
0.750 0.750 0.750 Lu
```

Computed properties:
E_form	8	kJ per mole of atoms
density of states at the Fermi level	5.9	states/eV/cell
total moment	7.30	μB/f.u.